# KDy2Y3Te6 (PBE, relaxed)
data_KDy2Y3Te6
_cell_length_a 9.914
_cell_length_b 9.914
_cell_length_c 8.985
_cell_angle_alpha 103.41
_cell_angle_beta 103.41
_cell_angle_gamma 25.53
_space_group_name_H-M_alt 'P 1'
_space_group_IT_number 1
_space_group_name_Hall 'P 1'
loop_
_atom_site_label
_atom_site_type_symbol
_atom_site_fract_x
_atom_site_fract_y
_atom_site_fract_z
K1 K 0.000 0.000 0.000
Dy1 Dy 0.331 0.331 0.656
Dy2 Dy 0.669 0.669 0.344
Y1 Y 0.000 0.000 0.500
Y2 Y 0.340 0.340 0.181
Y3 Y 0.660 0.660 0.819
Te1 Te 0.166 0.166 0.582
Te2 Te 0.175 0.175 0.087
Te3 Te 0.496 0.496 0.734
Te4 Te 0.504 0.504 0.266
Te5 Te 0.825 0.825 0.913
Te6 Te 0.834 0.834 0.418
# SG: C2/m, No. 12
# DFT total energy: -64.212 eV/cell
# total magnetic moment: 0.0 μB/f.u.



# Na2SmDyTe4 (PBE, relaxed)
data_Na2SmDyTe4
_cell_length_a 7.731
_cell_length_b 4.465
_cell_length_c 8.001
_cell_angle_alpha 90.00
_cell_angle_beta 108.81
_cell_angle_gamma 90.00
_space_group_name_H-M_alt 'P 1'
_space_group_IT_number 1
_space_group_name_Hall 'P 1'
loop_
_atom_site_label
_atom_site_type_symbol
_atom_site_fract_x
_atom_site_fract_y
_atom_site_fract_z
Na1 Na 0.000 0.000 0.000
Na2 Na 0.500 0.500 0.000
Sm1 Sm 0.000 0.500 0.500
Dy1 Dy 0.500 0.000 0.500
Te1 Te 0.250 0.000 0.735
Te2 Te 0.260 0.500 0.267
Te3 Te 0.740 0.500 0.733
Te4 Te 0.750 0.000 0.265
# SG: P2/m, No. 10
# DFT total energy: -35.091 eV/cell
# total magnetic moment: 0.0 μB/f.u.



# TmTh5Pb4 (PBE, relaxed)
data_TmTh5Pb4
_cell_length_a 8.646
_cell_length_b 8.646
_cell_length_c 6.819
_cell_angle_alpha 104.22
_cell_angle_beta 104.22
_cell_angle_gamma 37.93
_space_group_name_H-M_alt 'P 1'
_space_group_IT_number 1
_space_group_name_Hall 'P 1'
loop_
_atom_site_label
_atom_site_type_symbol
_atom_site_fract_x
_atom_site_fract_y
_atom_site_fract_z
Tm1 Tm 0.000 0.000 0.000
Th1 Th 0.000 0.000 0.500
Th2 Th 0.203 0.203 0.816
Th3 Th 0.383 0.383 0.612
Th4 Th 0.617 0.617 0.388
Th5 Th 0.797 0.797 0.184
Pb1 Pb 0.189 0.189 0.295
Pb2 Pb 0.414 0.414 0.147
Pb3 Pb 0.586 0.586 0.853
Pb4 Pb 0.811 0.811 0.705
# energy relative to the elements: -2.45 eV/f.u.
# SG: C2/m, No. 12
# DFT total energy: -58.853 eV/cell
# total magnetic moment: 0.0 μB/f.u.



# ZrBeI2 (PBE, relaxed)
data_ZrBeI2
_cell_length_a 5.089
_cell_length_b 5.089
_cell_length_c 5.089
_cell_angle_alpha 60.00
_cell_angle_beta 60.00
_cell_angle_gamma 60.00
_space_group_name_H-M_alt 'P 1'
_space_group_IT_number 1
_space_group_name_Hall 'P 1'
loop_
_atom_site_label
_atom_site_type_symbol
_atom_site_fract_x
_atom_site_fract_y
_atom_site_fract_z
Zr1 Zr 0.000 0.000 0.000
Be1 Be 0.500 0.500 0.500
I1 I 0.250 0.250 0.250
I2 I 0.750 0.750 0.750
# SG: Fm-3m, No. 225
# DFT total energy: -13.590 eV/cell
# total magnetic moment: 0.7 μB/f.u.